(1)
# SrDyRh4

Crystalline SrDyRh4 at its relaxed geometry (GGA-PBE, Alexandria).

formation energy from the elements: -0.497 eV per atom

a b c (Å): 7.6422 7.6422 7.6422
angles (deg): 90.00 90.00 90.00
Space group F-43m (No. 216)
Symmetry-distinct sites (fractional):
Sr 0.0000 0.0000 0.0000 [4 per cell]
Dy 0.2500 0.2500 0.7500 [4 per cell]
Rh 0.1247 0.1247 0.3753 [16 per cell]



(2)
# K3Rb7Au4

Crystalline K3Rb7Au4 at its relaxed geometry (GGA-PBE, Alexandria).

formation energy from the elements: -0.148 eV per atom

a b c (Å): 25.5040 4.9228 14.3041
angles (deg): 90.00 120.18 90.00
Space group C2/m (No. 12)
Symmetry-distinct sites (fractional):
K 0.0000 0.0000 0.0000 [2 per cell]
K 0.1673 0.5000 0.6831 [4 per cell]
Rb 0.0000 0.0000 0.5000 [2 per cell]
Rb 0.0273 0.5000 0.7730 [4 per cell]
Rb 0.1660 0.0000 0.3736 [4 per cell]
Rb 0.1938 0.5000 0.0558 [4 per cell]
Au 0.1418 0.0000 0.8294 [4 per cell]
Au 0.2491 0.0000 0.6613 [4 per cell]



(3)
# MnCS2

Crystalline MnCS2 at its relaxed geometry (GGA-PBE, Alexandria).

calculated total energy: -5.42 eV per atom

a b c (Å): 2.9086 2.9086 19.8905
angles (deg): 90.00 90.00 120.00
Space group R-3m (No. 166, hexagonal axes)
Symmetry-distinct sites (fractional):
Mn 0.0000 0.0000 0.0000 [3 per cell]
C 0.0000 0.0000 0.5000 [3 per cell]
S 0.0000 0.0000 0.1044 [6 per cell]